(1)
DFT (PBE-GGA) results for a geometry-optimized ReTcAu2 structure.

Summary:
Fermi-level density of states, states/eV per cell: 4.006
Energy relative to the lowest polymorph listed for this composition, meV per atom: 0
Density, Mg/m³: 17.1
Total energy, eV per atom: -7.2075

```
data_ReTcAu2
_space_group_name_H-M_alt 'R 3 m'
_space_group_IT_number 160
_space_group_name_Hall 'R 3 -2"'
_cell_length_a 2.8089
_cell_length_b 2.8089
_cell_length_c 28.8311
_cell_angle_alpha 90.00
_cell_angle_beta 90.00
_cell_angle_gamma 120.00
loop_
_atom_site_label
_atom_site_fract_x
_atom_site_fract_y
_atom_site_fract_z
_atom_site_occupancy
Re1 0.0000 0.0000 0.0000 1
Tc1 0.0000 0.0000 0.2626 1
Au1 0.0000 0.0000 0.5100 1
Au2 0.0000 0.0000 0.7532 1
```



(2)
DFT (PBE-GGA) results for a geometry-optimized BaMgCd4Pb2 structure.

Summary:
Fermi-level density of states, states/eV per cell: 14.131
Density, Mg/m³: 7.4
Total energy, eV per atom: -1.9469

```
data_BaMgCd4Pb2
_space_group_name_H-M_alt 'R -3 m'
_space_group_IT_number 166
_space_group_name_Hall '-R 3 2"'
_cell_length_a 5.2253
_cell_length_b 5.2253
_cell_length_c 29.3403
_cell_angle_alpha 90.00
_cell_angle_beta 90.00
_cell_angle_gamma 120.00
loop_
_atom_site_label
_atom_site_fract_x
_atom_site_fract_y
_atom_site_fract_z
_atom_site_occupancy
Ba1 0.0000 0.0000 0.0000 1
Mg1 0.0000 0.0000 0.5000 1
Cd1 0.0000 0.0000 0.1340 1
Cd2 0.0000 0.0000 0.3955 1
Pb1 0.0000 0.0000 0.2433 1
```



(3)
DFT (PBE-GGA) results for a geometry-optimized AcErSn structure.

Summary:
Fermi-level density of states, states/eV per cell: 6.768
Energy relative to the lowest polymorph listed for this composition, meV per atom: 33
Density, Mg/m³: 8.4
Total energy, eV per atom: -4.7908

```
data_AcErSn
_space_group_name_H-M_alt 'P 4/n m m'
_space_group_IT_number 129
_cell_length_a 4.812
_cell_length_b 4.812
_cell_length_c 8.781
_cell_angle_alpha 90.00
_cell_angle_beta 90.00
_cell_angle_gamma 90.00
loop_
_space_group_symop_operation_xyz
'x,y,z'
'-x,-y,-z'
'-y+1/2,x,z'
'y+1/2,-x,-z'
'-x+1/2,-y+1/2,z'
'x+1/2,y+1/2,-z'
'y,-x+1/2,z'
'-y,x+1/2,-z'
'x+1/2,-y,-z'
'-x+1/2,y,z'
'-y,-x,-z'
'y,x,z'
'-x,y+1/2,-z'
'x,-y+1/2,z'
'y+1/2,x+1/2,-z'
'-y+1/2,-x+1/2,z'
loop_
_atom_site_label
_atom_site_fract_x
_atom_site_fract_y
_atom_site_fract_z
_atom_site_occupancy
Ac1 0.250 0.250 0.148 1
Er1 0.250 0.750 0.500 1
Sn1 0.250 0.250 0.742 1
```



(4)
DFT (PBE-GGA) results for a geometry-optimized Ti7Nb2Al structure.

Summary:
Fermi-level density of states, states/eV per cell: 24.722
Density, Mg/m³: 4.3
Total energy, eV per atom: -7.1613

```
data_Ti7Nb2Al
_space_group_name_H-M_alt 'C m m m'
_space_group_IT_number 65
_space_group_name_Hall '-C 2 2'
_cell_length_a 6.957
_cell_length_b 13.290
_cell_length_c 4.614
_cell_angle_alpha 90.00
_cell_angle_beta 90.00
_cell_angle_gamma 90.00
loop_
_atom_site_label
_atom_site_fract_x
_atom_site_fract_y
_atom_site_fract_z
_atom_site_occupancy
Ti1 0.000 0.000 0.000 1
Ti2 0.000 0.268 0.500 1
Ti3 0.174 0.397 0.000 1
Nb1 0.000 0.212 0.000 1
Al1 0.000 0.500 0.500 1
```



(5)
DFT (PBE-GGA) results for a geometry-optimized CeMg14B structure.

Summary:
Fermi-level density of states, states/eV per cell: 16.339
Energy relative to the lowest polymorph listed for this composition, meV per atom: 80
Density, Mg/m³: 2.3
Total energy, eV per atom: -1.9606

```
data_CeMg14B
_space_group_name_H-M_alt 'P -6 m 2'
_space_group_IT_number 187
_space_group_name_Hall 'P -6 2'
_cell_length_a 6.4678
_cell_length_b 6.4678
_cell_length_c 9.9604
_cell_angle_alpha 90.00
_cell_angle_beta 90.00
_cell_angle_gamma 120.00
loop_
_atom_site_label
_atom_site_fract_x
_atom_site_fract_y
_atom_site_fract_z
_atom_site_occupancy
Ce1 0.0000 0.0000 0.0000 1
Mg1 0.0187 0.5094 0.0000 1
Mg2 0.1585 0.3170 0.2758 1
Mg3 0.5077 0.0154 0.5000 1
Mg4 0.6667 0.3333 0.2370 1
B1 0.0000 0.0000 0.5000 1
```



(6)
DFT (PBE-GGA) results for a geometry-optimized La2Hg2Ru structure.

Summary:
Fermi-level density of states, states/eV per cell: 12.116
Energy relative to the lowest polymorph listed for this composition, meV per atom: 314
Density, Mg/m³: 9.8
Total energy, eV per atom: -3.9845

```
data_La2Hg2Ru
_space_group_name_H-M_alt 'P 4/m b m'
_space_group_IT_number 127
_space_group_name_Hall '-P 4 2ab'
_cell_length_a 7.478
_cell_length_b 7.478
_cell_length_c 4.715
_cell_angle_alpha 90.00
_cell_angle_beta 90.00
_cell_angle_gamma 90.00
loop_
_atom_site_label
_atom_site_fract_x
_atom_site_fract_y
_atom_site_fract_z
_atom_site_occupancy
La1 0.175 0.325 0.000 1
Hg1 0.138 0.638 0.500 1
Ru1 0.000 0.000 0.500 1
```



(7)
DFT (PBE-GGA) results for a geometry-optimized YAl structure.

Summary:
Fermi-level density of states, states/eV per cell: 3.589
Density, Mg/m³: 3.8
Total energy, eV per atom: -5.2107

```
data_YAl
_space_group_name_H-M_alt 'P m m n'
_space_group_IT_number 59
_cell_length_a 3.493
_cell_length_b 4.830
_cell_length_c 6.079
_cell_angle_alpha 90.00
_cell_angle_beta 90.00
_cell_angle_gamma 90.00
loop_
_space_group_symop_operation_xyz
'x,y,z'
'-x,-y,-z'
'-x+1/2,-y+1/2,z'
'x+1/2,y+1/2,-z'
'x+1/2,-y,-z'
'-x+1/2,y,z'
'-x,y+1/2,-z'
'x,-y+1/2,z'
loop_
_atom_site_label
_atom_site_fract_x
_atom_site_fract_y
_atom_site_fract_z
_atom_site_occupancy
Y1 0.250 0.250 0.183 1
Al1 0.250 0.250 0.681 1
```



(8)
DFT (PBE-GGA) results for a geometry-optimized Th2Cd6Ag3 structure.

Summary:
Fermi-level density of states, states/eV per cell: 5.343
Density, Mg/m³: 9.2
Total energy, eV per atom: -2.6559

```
data_Th2Cd6Ag3
_space_group_name_H-M_alt 'P -6 2 m'
_space_group_IT_number 189
_space_group_name_Hall 'P -6 -2'
_cell_length_a 8.4245
_cell_length_b 8.4245
_cell_length_c 4.3070
_cell_angle_alpha 90.00
_cell_angle_beta 90.00
_cell_angle_gamma 120.00
loop_
_atom_site_label
_atom_site_fract_x
_atom_site_fract_y
_atom_site_fract_z
_atom_site_occupancy
Th1 0.3333 0.6667 0.0000 1
Cd1 0.0000 0.1993 0.0000 1
Cd2 0.0000 0.7187 0.5000 1
Ag1 0.0000 0.4005 0.5000 1
```



(9)
DFT (PBE-GGA) results for a geometry-optimized Ga3CuH structure.

Summary:
Fermi-level density of states, states/eV per cell: 1.914
Energy relative to the lowest polymorph listed for this composition, meV per atom: 197
Density, Mg/m³: 4.5
Total energy, eV per atom: -2.8213

```
data_Ga3CuH
_space_group_name_H-M_alt 'P m -3 m'
_space_group_IT_number 221
_space_group_name_Hall '-P 4 2 3'
_cell_length_a 4.653
_cell_length_b 4.653
_cell_length_c 4.653
_cell_angle_alpha 90.00
_cell_angle_beta 90.00
_cell_angle_gamma 90.00
loop_
_atom_site_label
_atom_site_fract_x
_atom_site_fract_y
_atom_site_fract_z
_atom_site_occupancy
Ga1 0.000 0.000 0.500 1
Cu1 0.000 0.000 0.000 1
H1 0.500 0.500 0.500 1
```



(10)
DFT (PBE-GGA) results for a geometry-optimized NiP2RhS structure.

Summary:
Fermi-level density of states, states/eV per cell: 3.118
Energy relative to the lowest polymorph listed for this composition, meV per atom: 1024
Density, Mg/m³: 5.2
Total energy, eV per atom: -4.9502

```
data_NiP2RhS
_space_group_name_H-M_alt 'P 4/m m m'
_space_group_IT_number 123
_space_group_name_Hall '-P 4 2'
_cell_length_a 4.243
_cell_length_b 4.243
_cell_length_c 4.533
_cell_angle_alpha 90.00
_cell_angle_beta 90.00
_cell_angle_gamma 90.00
loop_
_atom_site_label
_atom_site_fract_x
_atom_site_fract_y
_atom_site_fract_z
_atom_site_occupancy
Ni1 0.000 0.000 0.000 1
P1 0.000 0.500 0.000 1
Rh1 0.500 0.500 0.500 1
S1 0.000 0.000 0.500 1
```